Density functional theory data (PBE) for CaEr4Pd5 after structural relaxation.

Structure (CIF):
```
data_CaEr4Pd5
_chemical_formula_sum 'Ca1 Er4 Pd5'
_cell_length_a 3.455
_cell_length_b 3.455
_cell_length_c 17.827
_cell_angle_alpha 90.00
_cell_angle_beta 90.00
_cell_angle_gamma 90.00
_symmetry_space_group_name_H-M 'P 4/m m m'
_symmetry_Int_Tables_number 123
_symmetry_space_group_name_Hall '-P 4 2'
loop_
_atom_site_label
_atom_site_fract_x
_atom_site_fract_y
_atom_site_fract_z
Ca1 0.000 0.000 0.000
Er1 0.000 0.000 0.202
Er2 0.000 0.000 0.401
Pd1 0.500 0.500 0.113
Pd2 0.500 0.500 0.303
Pd3 0.500 0.500 0.500
```

Results
total energy = -5.5088 eV/atom
N(E_F) = 5.766 states/eV per cell
energy relative to the elements = -887 meV/atom

Density functional theory data (PBE) for Ca2Er2Pd15 after structural relaxation.

Structure (CIF):
```
data_Ca2Er2Pd15
_chemical_formula_sum 'Ca6 Er6 Pd45'
_cell_length_a 9.2538
_cell_length_b 9.2538
_cell_length_c 14.0781
_cell_angle_alpha 90.00
_cell_angle_beta 90.00
_cell_angle_gamma 120.00
_symmetry_space_group_name_H-M 'R -3 m'
_symmetry_Int_Tables_number 166
_symmetry_space_group_name_Hall '-R 3 2"'
loop_
_atom_site_label
_atom_site_fract_x
_atom_site_fract_y
_atom_site_fract_z
Ca1 0.0000 0.0000 0.1374
Er1 0.0000 0.0000 0.3901
Pd1 0.0000 0.3007 0.5000
Pd2 0.0000 0.5000 0.0000
Pd3 0.0039 0.5020 0.6522
```

Results
total energy = -5.2961 eV/atom
N(E_F) = 49.732 states/eV per cell
energy relative to the elements = -506 meV/atom

Among the records above, which one has the highest N(E_F)? Ca2Er2Pd15